# Rb2CrGaF6

A geometry-optimized Rb2CrGaF6 structure (GGA+U, the Alexandria database).

a b c (Å): 6.2851 6.2851 6.2889
angles (deg): 60.02 60.02 90.00
Closest atoms and distances in Å follow each position.
Sites, in units of the cell vectors:
Cr  0.5000  0.5000  0.0000  6 F 1.96
Ga  0.0000  0.0000  0.0000  6 F 2.48-2.49
Rb  0.7500  0.2500  0.5000  12 F 3.15-3.16
Rb  0.2500  0.7500  0.5000  12 F 3.15-3.16
F  0.2796  0.2796  0.4407  1 Cr 1.96
F  0.7204  0.7204  0.5593  1 Cr 1.96
F  0.2794  0.2794  0.0000  1 Cr 1.96
F  0.7206  0.7206  0.0000  1 Cr 1.96
F  0.7206  0.2794  0.0000  1 Cr 1.96
F  0.2794  0.7206  0.0000  1 Cr 1.96

Energy, eV/f.u.: -49.66
SG: Fm-3m (225)
ρ, g/cm³: 3.84